Version i
An optimized crystal structure of LaTaCr2, computed with GGA-PBE.

abc: 4.9657 4.9657 5.4787
angles: 103.59 103.59 36.25
Closest atoms and distances in Å follow each position.
Fractional coordinates of all 4 atoms:
La: 0.0000 0.0000 0.0000  7 Cr 3.04-3.29, 3 Ta 3.05-3.35, 2 La 3.09
Ta: 0.2053 0.2053 0.6480  5 Cr 2.55-2.85
Cr: 0.4671 0.4671 0.4770  2 Cr 2.27
Cr: 0.7896 0.7896 0.3407  2 Cr 2.27

Crystal system: monoclinic
SG: Cm (8)
Size of the total moment, μB per formula unit: 0.0

***

Version ii
An optimized crystal structure of LaTaCr2, computed with GGA-PBE.

abc: 2.9838 3.6760 7.1076
angles: 90.00 100.95 90.00
Closest atoms and distances in Å follow each position.
Fractional coordinates of all 4 atoms:
La: 0.0000 0.0000 0.0000  2 La 2.98, 3 Cr 3.04-3.26
Ta: 0.6515 0.5000 0.3614  3 Cr 2.44-2.57
Cr: 0.1374 0.0000 0.5558  2 Cr 2.25
Cr: 0.5019 0.5000 0.6873  2 Cr 2.25, 1 Ta 2.44

Crystal system: monoclinic
SG: Pm (6)
Size of the total moment, μB per formula unit: 0.0

***

Energetically preferred structure: version ii | next structure: +94 meV per atom

***

Version i
An optimized crystal structure of B2C, computed with GGA-PBE.

abc: 4.7897 4.7897 7.8660
angles: 113.18 113.18 32.07
Closest atoms and distances in Å follow each position.
Fractional coordinates of all 12 atoms:
B: 0.0000 0.0000 0.0000  1 C 1.55, 1 B 1.71
B: 0.1235 0.1235 0.4557  3 C 1.56-1.61
B: 0.3249 0.3249 0.1933  1 C 1.52, 1 B 1.68
B: 0.4115 0.4115 0.7883  1 C 1.60, 2 B 1.69
B: 0.5104 0.5104 0.2007  1 C 1.55, 1 B 1.68
B: 0.6579 0.6579 0.8944  3 C 1.60-1.76, 1 B 1.74
B: 0.8137 0.8137 0.8235  4 B 1.69-1.74
B: 0.8359 0.8359 0.3683  2 C 1.61-1.66
C: 0.0043 0.0043 0.5590  2 C 1.54, 2 B 1.61-1.66
C: 0.1737 0.1737 0.0148  4 B 1.52-1.60
C: 0.5115 0.5115 0.6634  2 C 1.54, 1 B 1.60
C: 0.6658 0.6658 0.3810  4 B 1.55-1.61

Crystal system: monoclinic
SG: Cm (8)
Size of the total moment, μB per formula unit: 0.0

***

Version ii
An optimized crystal structure of B2C, computed with GGA-PBE.

abc: 4.8643 2.7724 6.4336
angles: 90.00 103.10 90.00
Closest atoms and distances in Å follow each position.
Fractional coordinates of all 12 atoms:
B: 0.0122 0.2500 0.0875  3 B 1.59-1.77
B: 0.0749 0.7500 0.6490  2 C 1.61
B: 0.2839 0.7500 0.0799  1 C 1.52, 1 B 1.59
B: 0.2968 0.2500 0.3304  2 C 1.64
B: 0.7032 0.7500 0.6696  2 C 1.64
B: 0.7161 0.2500 0.9201  1 C 1.52, 1 B 1.59
B: 0.9251 0.2500 0.3510  2 C 1.61
B: 0.9878 0.7500 0.9125  3 B 1.59-1.77
C: 0.2181 0.2500 0.6035  1 C 1.52, 2 B 1.61
C: 0.4661 0.7500 0.3050  1 C 1.52, 3 B 1.52-1.64
C: 0.5339 0.2500 0.6950  1 C 1.52, 3 B 1.52-1.64
C: 0.7819 0.7500 0.3965  1 C 1.52, 2 B 1.61

Crystal system: monoclinic
SG: P2_1/m (11)
Size of the total moment, μB per formula unit: 0.0

***

Energetically preferred structure: version ii | next structure: +73 meV per atom

***

Version i
An optimized crystal structure of ZnSiRh2, computed with GGA-PBE.

abc: 5.4340 5.4340 5.4340
angles: 105.09 105.09 118.63
Closest atoms and distances in Å follow each position.
Fractional coordinates of all 8 atoms:
Zn: 0.0000 0.0000 0.0000  4 Rh 2.62, 2 Si 2.77
Zn: 0.7500 0.2500 0.5000  4 Rh 2.62, 2 Si 2.77
Si: 0.2500 0.7500 0.5000  4 Rh 2.27
Si: 0.5000 0.5000 0.0000  4 Rh 2.27
Rh: 0.1648 0.6250 0.0398  2 Si 2.27
Rh: 0.3750 0.4148 0.5398  2 Si 2.27
Rh: 0.5852 0.1250 0.9602  2 Si 2.27
Rh: 0.8750 0.8352 0.4602  2 Si 2.27

Crystal system: tetragonal
SG: I-42d (122)
Size of the total moment, μB per formula unit: 0.0

***

Version ii
An optimized crystal structure of ZnSiRh2, computed with GGA-PBE.

abc: 4.7992 4.7992 4.2881
angles: 103.96 103.96 34.74
Closest atoms and distances in Å follow each position.
Fractional coordinates of all 4 atoms:
Zn: 0.0000 0.0000 0.0000  7 Rh 2.50-2.61
Si: 0.7570 0.7570 0.3908  7 Rh 2.49-2.61
Rh: 0.2539 0.2539 0.8834  3 Zn 2.50-2.61, 4 Si 2.56-2.60
Rh: 0.4868 0.4868 0.4875  3 Si 2.49-2.61, 4 Zn 2.56-2.60

Crystal system: monoclinic
SG: Cm (8)
Size of the total moment, μB per formula unit: 0.0

***

Energetically preferred structure: version ii | next structure: +252 meV per atom

***

Version i
An optimized crystal structure of PdSe2I, computed with GGA-PBE.

abc: 7.3153 7.3153 7.3153
angles: 33.41 33.41 33.41
Closest atoms and distances in Å follow each position.
Fractional coordinates of all 4 atoms:
Pd: 0.0000 0.0000 0.0000  4 Se 2.52-2.78
Se: 0.2680 0.2680 0.2680  3 Se 2.69, 3 Pd 2.78
Se: 0.8785 0.8785 0.8785  1 Pd 2.52, 3 Se 2.69
I: 0.4259 0.4259 0.4259  3 Pd 3.09, 4 Se 3.27-3.46

Crystal system: trigonal
SG: R3m (160)
Size of the total moment, μB per formula unit: 0.0

***

Version ii
An optimized crystal structure of PdSe2I, computed with GGA-PBE.

abc: 9.4906 9.4906 11.1088
angles: 100.65 100.65 76.68
Closest atoms and distances in Å follow each position.
Fractional coordinates of all 32 atoms:
Pd: 0.0527 0.8703 0.5735  3 Se 2.44-2.60, 1 I 2.73
Pd: 0.1187 0.3998 0.7867  3 Se 2.44-2.57, 1 I 2.67
Pd: 0.1297 0.9473 0.9265  3 Se 2.44-2.60, 1 I 2.73
Pd: 0.3998 0.1187 0.2867  3 Se 2.44-2.57, 1 I 2.67
Pd: 0.6002 0.8813 0.7133  3 Se 2.44-2.57, 1 I 2.67
Pd: 0.8703 0.0527 0.0735  3 Se 2.44-2.60, 1 I 2.73
Pd: 0.8813 0.6002 0.2133  3 Se 2.44-2.57, 1 I 2.67
Pd: 0.9473 0.1297 0.4265  3 Se 2.44-2.60, 1 I 2.73
Se: 0.0383 0.9617 0.2500  2 Pd 2.44, 2 Se 2.65
Se: 0.0531 0.6771 0.8589  2 Pd 2.57-2.76, 3 Se 2.62-2.76
Se: 0.1442 0.2027 0.3290  2 Pd 2.48-2.60, 2 Se 2.65-2.76
Se: 0.2027 0.1442 0.8290  2 Pd 2.48-2.60, 2 Se 2.65-2.76
Se: 0.2408 0.7592 0.7500  2 Pd 2.60, 2 Se 2.65
Se: 0.2927 0.5061 0.9483  1 Pd 2.44, 1 Se 2.62, 1 I 2.68
Se: 0.3229 0.9469 0.6411  2 Pd 2.57-2.76, 3 Se 2.62-2.76
Se: 0.4939 0.7073 0.5517  1 Pd 2.44, 1 Se 2.62, 1 I 2.68
Se: 0.5061 0.2927 0.4483  1 Pd 2.44, 1 Se 2.62, 1 I 2.68
Se: 0.6771 0.0531 0.3589  2 Pd 2.57-2.76, 3 Se 2.62-2.76
Se: 0.7073 0.4939 0.0517  1 Pd 2.44, 1 Se 2.62, 1 I 2.68
Se: 0.7592 0.2408 0.2500  2 Pd 2.60, 2 Se 2.65
Se: 0.7973 0.8558 0.1710  2 Pd 2.48-2.60, 2 Se 2.65-2.76
Se: 0.8558 0.7973 0.6710  2 Pd 2.48-2.60, 2 Se 2.65-2.76
Se: 0.9469 0.3229 0.1411  2 Pd 2.57-2.76, 3 Se 2.62-2.76
Se: 0.9617 0.0383 0.7500  2 Pd 2.44, 2 Se 2.65
I: 0.1084 0.6416 0.3882  2 Pd 2.67-2.73
I: 0.3311 0.3564 0.1387  1 Se 2.68, 1 Pd 2.92
I: 0.3564 0.3311 0.6387  1 Se 2.68, 1 Pd 2.92
I: 0.3584 0.8916 0.1118  2 Pd 2.67-2.73
I: 0.6416 0.1084 0.8882  2 Pd 2.67-2.73
I: 0.6436 0.6689 0.3613  1 Se 2.68, 1 Pd 2.92
I: 0.6689 0.6436 0.8613  1 Se 2.68, 1 Pd 2.92
I: 0.8916 0.3584 0.6118  2 Pd 2.67-2.73

Crystal system: monoclinic
SG: C2/c (15)
Size of the total moment, μB per formula unit: 0.0

***

Energetically preferred structure: version ii | next structure: +195 meV per atom

***

Version i
An optimized crystal structure of BC2, computed with GGA-PBE.

abc: 4.5566 4.5566 8.0018
angles: 118.40 118.40 32.81
Closest atoms and distances in Å follow each position.
Fractional coordinates of all 12 atoms:
B: 0.0733 0.0733 0.3467  4 C 1.61-1.71
B: 0.3614 0.3614 0.0178  3 C 1.56-1.59
B: 0.6386 0.6386 0.9822  3 C 1.56-1.59
B: 0.9267 0.9267 0.6533  4 C 1.61-1.71
C: 0.1104 0.1104 0.8531  3 B 1.59-1.61, 1 C 1.62
C: 0.2470 0.2470 0.3176  3 C 1.52-1.54, 1 B 1.65
C: 0.2629 0.2629 0.7939  3 C 1.54-1.62, 1 B 1.56
C: 0.4187 0.4187 0.5094  2 C 1.50-1.52
C: 0.5813 0.5813 0.4906  2 C 1.50-1.52
C: 0.7371 0.7371 0.2061  3 C 1.54-1.62, 1 B 1.56
C: 0.7530 0.7530 0.6824  3 C 1.52-1.54, 1 B 1.65
C: 0.8896 0.8896 0.1469  3 B 1.59-1.61, 1 C 1.62

Crystal system: monoclinic
SG: C2/m (12)
Size of the total moment, μB per formula unit: 0.0

***

Version ii
An optimized crystal structure of BC2, computed with GGA-PBE.

abc: 5.9530 5.9530 5.3407
angles: 100.52 100.52 24.21
Closest atoms and distances in Å follow each position.
Fractional coordinates of all 12 atoms:
B: 0.0294 0.0294 0.3546  1 C 1.55
B: 0.3625 0.3625 0.5427  2 C 1.61-1.67, 2 B 1.78
B: 0.6375 0.6375 0.4573  2 C 1.61-1.67, 2 B 1.78
B: 0.9706 0.9706 0.6454  1 C 1.55
C: 0.0502 0.0502 0.9117  3 C 1.54-1.63, 1 B 1.55
C: 0.2894 0.2894 0.2557  3 C 1.54-1.60, 1 B 1.61
C: 0.2887 0.2887 0.7825  3 C 1.54-1.55, 1 B 1.67
C: 0.3714 0.3714 0.0465  4 C 1.54-1.60
C: 0.6286 0.6286 0.9535  4 C 1.54-1.60
C: 0.7113 0.7113 0.2175  3 C 1.54-1.55, 1 B 1.67
C: 0.7106 0.7106 0.7443  3 C 1.54-1.60, 1 B 1.61
C: 0.9498 0.9498 0.0883  3 C 1.54-1.63, 1 B 1.55

Crystal system: monoclinic
SG: C2/m (12)
Size of the total moment, μB per formula unit: 0.0

***

Energetically preferred structure: version i | next structure: +27 meV per atom

***

Version i
An optimized crystal structure of CdNi3N, computed with GGA-PBE.

abc: 7.1623 7.1623 7.1623
angles: 38.77 38.77 38.77
Closest atoms and distances in Å follow each position.
Fractional coordinates of all 10 atoms:
Cd: 0.1637 0.1637 0.1637  6 Ni 2.72-2.79, 3 Cd 2.75
Cd: 0.8363 0.8363 0.8363  6 Ni 2.72-2.79, 3 Cd 2.75
Ni: 0.0462 0.7205 0.3923  2 N 1.88-1.92
Ni: 0.2795 0.6077 0.9538  2 N 1.88-1.92
Ni: 0.3923 0.0462 0.7205  2 N 1.88-1.92
Ni: 0.6077 0.9538 0.2795  2 N 1.88-1.92
Ni: 0.7205 0.3923 0.0462  2 N 1.88-1.92
Ni: 0.9538 0.2795 0.6077  2 N 1.88-1.92
N: 0.3372 0.3372 0.3372  6 Ni 1.88-1.92
N: 0.6628 0.6628 0.6628  6 Ni 1.88-1.92

Crystal system: trigonal
SG: R-3 (148)
Size of the total moment, μB per formula unit: 0.0

***

Version ii
An optimized crystal structure of CdNi3N, computed with GGA-PBE.

abc: 8.7389 8.7389 4.3271
angles: 90.00 90.00 147.76
Closest atoms and distances in Å follow each position.
Fractional coordinates of all 10 atoms:
Cd: 0.1412 0.8588 0.7500  8 Ni 2.61-2.77
Cd: 0.8588 0.1412 0.2500  8 Ni 2.61-2.77
Ni: 0.0000 0.0000 0.0000  2 Ni 2.16
Ni: 0.0000 0.0000 0.5000  2 Ni 2.16
Ni: 0.0410 0.4618 0.7500  1 N 1.70
Ni: 0.4618 0.0410 0.2500  1 N 1.70
Ni: 0.5382 0.9590 0.7500  1 N 1.70
Ni: 0.9590 0.5382 0.2500  1 N 1.70
N: 0.3606 0.6394 0.7500  2 Ni 1.70
N: 0.6394 0.3606 0.2500  2 Ni 1.70

Crystal system: orthorhombic
SG: Cmcm (63)
Size of the total moment, μB per formula unit: 1.1

***

Energetically preferred structure: version i | next structure: +662 meV per atom